Entry 1:
DFT (GGA-PBE) results for an optimized crystal structure of Ac7TlHg2N2.

Results
Symmetry ... C2/m, No. 12
Crystal system ... monoclinic
Raw formation energy ... -0.59 eV/atom
Total magnetic moment ... 0.0 μB per cell

POSCAR file:
```
Ac7TlHg2N2
1.0
3.8005 -3.7998 0.0000
3.8005 3.7998 0.0000
-3.7632 0.0000 13.3219
Ac Tl Hg N
7 1 2 2
Cartesian
0.0000 0.0000 0.0000 Ac
1.9012 1.9009 2.6446 Ac
0.0088 0.0000 5.3859 Ac
1.9366 1.9009 10.6774 Ac
1.9012 -1.9009 2.6446 Ac
3.8290 0.0000 7.9361 Ac
1.9366 -1.9009 10.6774 Ac
3.8005 0.0000 0.0000 Tl
0.0390 0.0000 8.6350 Hg
3.7988 0.0000 4.6869 Hg
0.0008 0.0000 2.7770 N
3.8370 0.0000 10.5449 N
```

Entry 2:
DFT (GGA-PBE) results for an optimized crystal structure of NaCdInPb.

Results
Symmetry ... I-4m2, No. 119
Crystal system ... tetragonal
DFT formation energy ... -0.075 eV/atom
Total magnetic moment ... 0.0 μB per cell
Energy relative to the lowest polymorph listed for this composition ... 0 meV per atom

POSCAR file:
```
NaCdInPb
1.0
-2.3567 2.3567 4.8146
2.3567 -2.3567 4.8146
2.3567 2.3567 -4.8146
Na Cd In Pb
1 1 1 1
Cartesian
0.0000 0.0000 0.0000 Na
0.0000 2.3567 2.4073 Cd
2.3567 0.0000 2.4073 In
0.0000 0.0000 4.8146 Pb
```

Entry 3:
DFT (GGA-PBE) results for an optimized crystal structure of NdHo2Cu.

Results
Symmetry ... R3m, No. 160
Crystal system ... trigonal
DFT formation energy ... 0.024 eV/atom
Total magnetic moment ... 0.0 μB per cell
Energy relative to the lowest polymorph listed for this composition ... 131 meV per atom

POSCAR file:
```
NdHo2Cu
1.0
1.8411 1.0630 9.7011
-1.8411 1.0630 9.7011
0.0000 -2.1259 9.7011
Nd Ho Cu
1 2 1
Cartesian
0.0000 0.0000 0.0000 Nd
0.0000 0.0000 6.7786 Ho
0.0000 0.0000 12.6961 Ho
0.0000 0.0000 24.3081 Cu
```

Entry 4:
DFT (GGA-PBE) results for an optimized crystal structure of Tm8PSe3S3.

Results
Symmetry ... R-3m, No. 166
Crystal system ... trigonal
Raw formation energy ... -1.68 eV/atom
Total magnetic moment ... 0.0 μB per cell

POSCAR file:
```
Tm8PSe3S3
1.0
3.8914 2.2467 6.4666
-3.8914 2.2467 6.4666
0.0000 -4.4934 6.4666
Tm P Se S
8 1 3 3
Cartesian
0.0000 0.0000 4.6845 Tm
-1.9472 -1.1242 11.1952 Tm
0.0000 -2.2484 8.2047 Tm
-1.9472 1.1242 8.2047 Tm
1.9472 -1.1242 11.1952 Tm
0.0000 2.2484 11.1952 Tm
1.9472 1.1242 8.2047 Tm
0.0000 0.0000 14.7155 Tm
0.0000 0.0000 9.7000 P
-1.9457 -1.1234 6.4666 Se
-1.9457 1.1233 12.9333 Se
0.0000 2.2467 6.4666 Se
-3.8914 0.0000 9.7000 S
-1.9457 1.1233 3.2333 S
1.9457 1.1234 3.2333 S
```

Entry 5:
DFT (GGA-PBE) results for an optimized crystal structure of BeHgN2.

Results
Symmetry ... R-3m, No. 166
Crystal system ... trigonal
Raw formation energy ... 0.97 eV/atom
Total magnetic moment ... 0.0 μB per cell
Energy relative to the lowest polymorph listed for this composition ... 289 meV per atom

POSCAR file:
```
BeHgN2
1.0
1.4811 0.8551 5.9930
-1.4811 0.8551 5.9930
0.0000 -1.7102 5.9930
Be Hg N
1 1 2
Cartesian
0.0000 0.0000 0.0000 Be
0.0000 0.0000 8.9895 Hg
0.0000 0.0000 6.8499 N
0.0000 0.0000 11.1290 N
```

Entry 6:
DFT (GGA-PBE) results for an optimized crystal structure of La4BeCr.

Results
Symmetry ... F-43m, No. 216
Crystal system ... cubic
DFT formation energy ... 0.907 eV/atom
Total magnetic moment ... 4.4 μB per cell

POSCAR file:
```
La4BeCr
1.0
0.0000 4.5252 4.5252
4.5252 0.0000 4.5252
4.5252 4.5252 0.0000
La Be Cr
4 1 1
Cartesian
1.1284 1.1284 1.1284 La
3.3968 3.3968 1.1284 La
3.3968 1.1284 3.3968 La
1.1284 3.3968 3.3968 La
6.7878 6.7878 6.7878 Be
4.5252 4.5252 4.5252 Cr
```